1.
{
  "formula": "CrIn2Cu",
  "functional": "meta-GGA SCAN",
  "state": "single point on PBEsol structure",
  "lattice_angstrom": [[3.106, 0.000, 0.000], [0.000, 3.106, 0.000], [0.000, 0.000, 6.884]],
  "species": ["In", "In", "Cr", "Cu"],
  "fractional_positions": [[0.000, 0.000, 0.746], [0.000, 0.000, 0.254], [0.500, 0.500, 0.000], [0.500, 0.500, 0.500]],
  "formation_energy_kcal_per_mol_atoms": 3.3,
  "total_energy_ha_per_atom": -0.9168,
  "magnetic_moment_mub_per_cell": 3.68,
  "dos_ef_per_ev_fu": 1.29
}


2.
{
  "formula": "CrIn2Cu",
  "functional": "meta-GGA SCAN",
  "state": "single point on PBEsol structure",
  "lattice_angstrom": [[-0.973, 0.695, -3.808], [3.709, -0.947, -1.121], [-2.555, -3.990, 2.017]],
  "species": ["Cu", "In", "In", "Cr"],
  "fractional_positions": [[0.250, 0.750, 0.500], [0.000, 0.000, 0.000], [0.750, 0.250, 0.500], [0.500, 0.500, 0.000]],
  "formation_energy_kcal_per_mol_atoms": 3.1,
  "total_energy_ha_per_atom": -0.9171,
  "magnetic_moment_mub_per_cell": 3.58,
  "dos_ef_per_ev_fu": 1.54
}


3.
{
  "formula": "Cr3InCu",
  "functional": "meta-GGA SCAN",
  "state": "single point on PBEsol structure",
  "lattice_angstrom": [[4.540, 0.000, 0.000], [0.000, 4.540, 0.000], [0.000, 0.000, 4.540]],
  "species": ["Cr", "Cr", "Cr", "Cu", "In"],
  "fractional_positions": [[0.000, 0.000, 0.500], [0.000, 0.500, 0.000], [0.500, 0.000, 0.000], [0.000, 0.000, 0.000], [0.500, 0.500, 0.500]],
  "formation_energy_kcal_per_mol_atoms": 19.5,
  "total_energy_ha_per_atom": -0.7314,
  "magnetic_moment_mub_per_cell": 12.20,
  "dos_ef_per_ev_fu": 3.72
}


4.
{
  "formula": "CrIn2Cu",
  "functional": "meta-GGA SCAN",
  "state": "single point on PBEsol structure",
  "lattice_angstrom": [[3.215, 0.000, 0.000], [0.000, 3.737, 0.000], [0.000, 0.000, 5.921]],
  "species": ["Cu", "Cr", "In", "In"],
  "fractional_positions": [[0.500, 0.500, 0.737], [0.000, 0.000, 0.512], [0.500, 0.500, 0.281], [0.000, 0.000, 0.969]],
  "formation_energy_kcal_per_mol_atoms": 4.1,
  "total_energy_ha_per_atom": -0.9155,
  "magnetic_moment_mub_per_cell": 4.03,
  "dos_ef_per_ev_fu": 1.59
}


5.
{
  "formula": "Na2CrInCu",
  "functional": "meta-GGA SCAN",
  "state": "single point on PBEsol structure",
  "lattice_angstrom": [[-1.259, 4.033, 2.500], [-0.924, -2.848, 4.129], [4.842, 0.589, 1.489]],
  "species": ["Na", "Na", "Cr", "In", "Cu"],
  "fractional_positions": [[0.000, 0.500, 0.000], [0.000, 0.000, 0.500], [0.500, 0.500, 0.500], [0.500, 0.000, 0.000], [0.000, 0.000, 0.000]],
  "formation_energy_kcal_per_mol_atoms": 11.0,
  "total_energy_ha_per_atom": -0.5367,
  "magnetic_moment_mub_per_cell": 5.19,
  "dos_ef_per_ev_fu": 2.10
}


6.
{
  "formula": "Cr2InCuRh",
  "functional": "meta-GGA SCAN",
  "state": "single point on PBEsol structure",
  "lattice_angstrom": [[-4.498, -0.217, 0.963], [0.546, -4.289, 1.586], [0.889, 1.797, 4.554]],
  "species": ["Rh", "Cr", "Cr", "In", "Cu"],
  "fractional_positions": [[0.000, 0.000, 0.000], [0.500, 0.000, 0.000], [0.000, 0.500, 0.000], [0.000, 0.000, 0.500], [0.500, 0.500, 0.500]],
  "formation_energy_kcal_per_mol_atoms": 19.7,
  "total_energy_ha_per_atom": -0.8442,
  "magnetic_moment_mub_per_cell": 7.36,
  "dos_ef_per_ev_fu": 3.78
}


7.
{
  "formula": "CrInCu2S",
  "functional": "meta-GGA SCAN",
  "state": "single point on PBEsol structure",
  "lattice_angstrom": [[4.699, 0.000, 0.000], [0.000, 4.699, 0.000], [0.000, 0.000, 5.076]],
  "species": ["S", "Cr", "Cu", "Cu", "In"],
  "fractional_positions": [[0.000, 0.000, 0.500], [0.500, 0.500, 0.500], [0.500, 0.000, 0.000], [0.000, 0.500, 0.000], [0.000, 0.000, 0.000]],
  "raw_formation_energy_kj_per_mol_fu": 462,
  "total_energy_ha_per_atom": -0.6395,
  "magnetic_moment_mub_per_cell": 4.46,
  "dos_ef_per_ev_fu": 2.88
}


8.
{
  "formula": "CrCuIr2",
  "functional": "meta-GGA SCAN",
  "state": "single point on PBEsol structure",
  "lattice_angstrom": [[-1.797, -1.850, -0.493], [1.790, -2.530, 2.964], [-2.676, 1.994, 3.318]],
  "species": ["Ir", "Ir", "Cu", "Cr"],
  "fractional_positions": [[0.754, 0.000, 0.746], [0.246, 0.000, 0.254], [0.000, 0.500, 0.500], [0.500, 0.500, 0.000]],
  "formation_energy_kcal_per_mol_atoms": 2.0,
  "total_energy_ha_per_atom": -1.6117,
  "magnetic_moment_mub_per_cell": 3.24,
  "dos_ef_per_ev_fu": 3.59
}